First-principles (PBEsol) data for a relaxed ReAsN2 crystal, as listed in Alexandria.

Computed properties:
**Formation energy from raw total energies**: 0.177 eV/atom
**Density**: 10.2 Mg/m³
**Calculated total energy**: -8.70 eV/atom

```
4
Lattice="2.862 0.000 0.000 1.431 2.479 0.000 1.431 0.826 6.622" Properties=species:S:1:pos:R:3 pbc="T T T"
N 1.431 0.826 4.547
Re 2.862 1.652 3.311
N 4.293 2.479 2.075
As 0.000 0.000 0.000
```

***

First-principles (PBEsol) data for a relaxed SrCCl crystal, as listed in Alexandria.

Computed properties:
**Formation energy from raw total energies**: -1.181 eV/atom
**Density**: 3.3 Mg/m³
**Calculated total energy**: -5.68 eV/atom

```
6
Lattice="-0.915 0.911 -4.133 -3.718 -1.207 2.825 -0.871 7.097 1.758" Properties=species:S:1:pos:R:3 pbc="T T T"
Sr -1.528 1.269 0.618
Cl -1.841 4.290 1.353
Sr -3.975 5.532 -0.169
Cl -3.662 2.511 -0.904
C -3.578 -0.569 0.666
C -1.925 7.370 -0.217
```

***

First-principles (PBEsol) data for a relaxed Cd2BiBr crystal, as listed in Alexandria.

Computed properties:
**Formation energy from raw total energies**: -0.156 eV/atom
**Density**: 6.0 Mg/m³
**Calculated total energy**: -2.29 eV/atom

```
8
Lattice="6.421 0.000 0.000 0.000 6.421 0.000 -3.211 -3.211 6.870" Properties=species:S:1:pos:R:3 pbc="T T T"
Cd 1.605 1.686 5.153
Br 3.211 3.211 0.000
Bi 0.000 0.000 0.000
Cd 1.524 4.816 1.718
Br 3.211 0.000 3.435
Cd 4.897 1.605 1.718
Bi 0.000 3.211 3.435
Cd -1.605 -1.686 5.153
```

***

Please write out number 1 again, unchanged.
First-principles (PBEsol) data for a relaxed ReAsN2 crystal, as listed in Alexandria.

Computed properties:
**Formation energy from raw total energies**: 0.177 eV/atom
**Density**: 10.2 Mg/m³
**Calculated total energy**: -8.70 eV/atom

```
4
Lattice="2.862 0.000 0.000 1.431 2.479 0.000 1.431 0.826 6.622" Properties=species:S:1:pos:R:3 pbc="T T T"
N 1.431 0.826 4.547
Re 2.862 1.652 3.311
N 4.293 2.479 2.075
As 0.000 0.000 0.000
```

***

- Number 1 is which compound?
  ReAsN2

***

- Look up the density of the second one.
  3.3 Mg/m³

***

- Look up the calculated total energy of the first one.
  -8.70 eV/atom